1.
Here is a geometry-optimized BaSr2Se structure from Alexandria via LeMat-Bulk. Energies are from PBE.

Cell lengths 7.6913, 7.6913, 6.2372 Å; angles 66.08, 66.08, 30.67 degrees
With the nearest neighbours (Å) after each atom.
Fractional positions:
Ba1 0.7500 0.7500 0.7500  4 Se 3.72, 4 Sr 3.96, 2 Ba 4.07
Se1 0.2500 0.2500 0.2500  4 Sr 3.18
Sr1 0.9319 0.9319 0.0681  2 Se 3.18
Sr2 0.5681 0.5681 0.4319  2 Se 3.18

Computed properties:
uncorrected formation energy	-3.353	eV/f.u.
energy above the lowest structure with this stoichiometry	0.1041	eV per atom
energy	-12.12	eV per formula unit


2.
Here is a geometry-optimized Ba2Sr2Se structure from Alexandria via LeMat-Bulk. Energies are from PBE.

Cell lengths 8.3812, 8.3812, 7.3323 Å; angles 90.00, 90.00, 90.00 degrees
With the nearest neighbours (Å) after each atom.
Fractional positions:
Sr1 0.3254 0.8254 0.0000  2 Se 3.10
Sr2 0.8254 0.6746 0.0000  2 Se 3.10
Sr3 0.6746 0.1746 0.0000  2 Se 3.10
Sr4 0.1746 0.3254 0.0000  2 Se 3.10
Ba1 0.1648 0.6648 0.5000  1 Ba 3.91, 2 Sr 4.13
Ba2 0.6648 0.8352 0.5000  1 Ba 3.91, 2 Sr 4.13
Ba3 0.8352 0.3352 0.5000  1 Ba 3.91, 2 Sr 4.13
Ba4 0.3352 0.1648 0.5000  1 Ba 3.91, 2 Sr 4.13
Se1 0.0000 0.0000 0.0000  4 Sr 3.10
Se2 0.5000 0.5000 0.0000  4 Sr 3.10

Computed properties:
uncorrected formation energy	-2.486	eV/f.u.
energy	-13.18	eV per formula unit


Which of these has the highest uncorrected formation energy? Ba2Sr2Se


Which value of uncorrected formation energy does entry 2 give? -2.486 eV/f.u.


Number 1 is which compound? BaSr2Se